1.
Density functional theory data (PBE-GGA) for LaTc2Bi2 after structural relaxation.

Unit cell a=4.7027 b=4.7027 c=11.2479 alpha=90.00 beta=90.00 gamma=90.00
Positions (direct):
La1 0.0000 0.0000 0.0000
La2 0.5000 0.5000 0.5000
Tc1 0.0000 0.5000 0.2500
Tc2 0.0000 0.5000 0.7500
Tc3 0.5000 0.0000 0.2500
Tc4 0.5000 0.0000 0.7500
Bi1 0.0000 0.0000 0.3639
Bi2 0.0000 0.0000 0.6361
Bi3 0.5000 0.5000 0.1361
Bi4 0.5000 0.5000 0.8639

Computed properties:
- V: 24.9 Å³/atom
- Crystal system: tetragonal
- N(E_F): 1.050 states/eV/atom
- Offset from the most stable computed form: 0.000 eV/atom
- Total moment: 0.000 μB per cell
- ΔH_f (0 K): 151 meV per atom

2.
Density functional theory data (PBE-GGA) for La2Tc2Bi after structural relaxation.

Unit cell a=7.4031 b=7.4031 c=4.6191 alpha=90.00 beta=90.00 gamma=90.00
Positions (direct):
La1 0.1809 0.3191 0.0000
La2 0.3191 0.8191 0.0000
La3 0.6809 0.1809 0.0000
La4 0.8191 0.6809 0.0000
Tc1 0.1078 0.6078 0.5000
Tc2 0.3922 0.1078 0.5000
Tc3 0.6078 0.8922 0.5000
Tc4 0.8922 0.3922 0.5000
Bi1 0.0000 0.0000 0.5000
Bi2 0.5000 0.5000 0.5000

Computed properties:
- V: 25.3 Å³/atom
- Crystal system: tetragonal
- N(E_F): 1.629 states/eV/atom
- Total moment: 0.000 μB per cell
- ΔH_f (0 K): -107 meV per atom

3.
Density functional theory data (PBE-GGA) for LaTc2Bi2 after structural relaxation.

Unit cell a=8.3178 b=8.3178 c=3.2846 alpha=90.00 beta=90.00 gamma=90.00
Positions (direct):
La1 0.0000 0.0000 0.0000
La2 0.5000 0.5000 0.0000
Tc1 0.1382 0.3618 0.5000
Tc2 0.3618 0.8618 0.5000
Tc3 0.6382 0.1382 0.5000
Tc4 0.8618 0.6382 0.5000
Bi1 0.1468 0.6468 0.0000
Bi2 0.3532 0.1468 0.0000
Bi3 0.6468 0.8532 0.0000
Bi4 0.8532 0.3532 0.0000

Computed properties:
- V: 22.7 Å³/atom
- Crystal system: tetragonal
- N(E_F): 1.548 states/eV/atom
- Offset from the most stable computed form: 0.233 eV/atom
- Total moment: 0.002 μB per cell
- ΔH_f (0 K): 384 meV per atom

4.
Density functional theory data (PBE-GGA) for LaTc2Bi after structural relaxation.

Unit cell a=4.5205 b=4.5205 c=18.4331 alpha=90.00 beta=90.00 gamma=90.00
Positions (direct):
La1 0.0000 0.0000 0.0000
La2 0.0000 0.5000 0.2500
La3 0.5000 0.0000 0.7500
La4 0.5000 0.5000 0.5000
Tc1 0.1775 0.2500 0.1250
Tc2 0.2500 0.6775 0.3750
Tc3 0.2500 0.8225 0.8750
Tc4 0.3225 0.2500 0.6250
Tc5 0.6775 0.7500 0.6250
Tc6 0.7500 0.1775 0.8750
Tc7 0.7500 0.3225 0.3750
Tc8 0.8225 0.7500 0.1250
Bi1 0.0000 0.0000 0.5000
Bi2 0.0000 0.5000 0.7500
Bi3 0.5000 0.0000 0.2500
Bi4 0.5000 0.5000 0.0000

Computed properties:
- V: 23.5 Å³/atom
- Crystal system: tetragonal
- N(E_F): 0.677 states/eV/atom
- Total moment: 0.000 μB per cell
- ΔH_f (0 K): 685 meV per atom

Repeat the third record exactly.
Density functional theory data (PBE-GGA) for LaTc2Bi2 after structural relaxation.

Unit cell a=8.3178 b=8.3178 c=3.2846 alpha=90.00 beta=90.00 gamma=90.00
Positions (direct):
La1 0.0000 0.0000 0.0000
La2 0.5000 0.5000 0.0000
Tc1 0.1382 0.3618 0.5000
Tc2 0.3618 0.8618 0.5000
Tc3 0.6382 0.1382 0.5000
Tc4 0.8618 0.6382 0.5000
Bi1 0.1468 0.6468 0.0000
Bi2 0.3532 0.1468 0.0000
Bi3 0.6468 0.8532 0.0000
Bi4 0.8532 0.3532 0.0000

Computed properties:
- V: 22.7 Å³/atom
- Crystal system: tetragonal
- N(E_F): 1.548 states/eV/atom
- Offset from the most stable computed form: 0.233 eV/atom
- Total moment: 0.002 μB per cell
- ΔH_f (0 K): 384 meV per atom

Copy entry 1 word for word.
Density functional theory data (PBE-GGA) for LaTc2Bi2 after structural relaxation.

Unit cell a=4.7027 b=4.7027 c=11.2479 alpha=90.00 beta=90.00 gamma=90.00
Positions (direct):
La1 0.0000 0.0000 0.0000
La2 0.5000 0.5000 0.5000
Tc1 0.0000 0.5000 0.2500
Tc2 0.0000 0.5000 0.7500
Tc3 0.5000 0.0000 0.2500
Tc4 0.5000 0.0000 0.7500
Bi1 0.0000 0.0000 0.3639
Bi2 0.0000 0.0000 0.6361
Bi3 0.5000 0.5000 0.1361
Bi4 0.5000 0.5000 0.8639

Computed properties:
- V: 24.9 Å³/atom
- Crystal system: tetragonal
- N(E_F): 1.050 states/eV/atom
- Offset from the most stable computed form: 0.000 eV/atom
- Total moment: 0.000 μB per cell
- ΔH_f (0 K): 151 meV per atom